The following is a PBE calculation of a relaxed Sr2Hg2IrO6 crystal, from Alexandria via LeMat-Bulk.

Results
Crystal system ... monoclinic
Size of the total moment ... 1.0 Bohr magnetons per cell
Calculated total energy ... -57.4 eV per formula unit
Volume ... 195.20 Å³/cell
Formation energy from raw total energies ... -1346.1 meV/atom

a b c (Å): 6.170 6.170 6.087
angles (deg): 93.51 93.51 121.88
Sites, in units of the cell vectors:
Sr: 0.159 0.841 0.000
Sr: 0.841 0.159 0.000
Hg: 0.360 0.640 0.500
Hg: 0.640 0.360 0.500
Ir: 0.500 0.500 0.000
O: 0.216 0.490 0.810
O: 0.251 0.251 0.197
O: 0.490 0.216 0.810
O: 0.510 0.784 0.190
O: 0.749 0.749 0.803
O: 0.784 0.510 0.190